The following is a DFT calculation (PBE) of crystalline InPtAu6 at its relaxed geometry.

```
8
Lattice="-3.729 -2.186 2.157 3.668 -4.327 1.956 -0.963 4.782 3.180" Properties=species:S:1:pos:R:3 pbc="T T T"
In 0.270 -2.352 3.492
Pt 2.405 -0.447 3.705
Au 2.908 -2.843 2.146
Au 1.041 -0.640 1.150
Au 0.581 1.748 2.776
Au -0.219 0.016 5.047
Au -2.053 2.180 4.069
Au -1.572 -0.214 2.475
```

## Properties
Fermi-level density of states   3.2 states/eV/f.u.

The following is a DFT calculation (PBE) of crystalline InPt3Au at its relaxed geometry.

```
10
Lattice="-0.084 -2.918 -4.585 4.398 -3.668 2.253 -5.373 -2.485 1.680" Properties=species:S:1:pos:R:3 pbc="T T T"
In -2.702 -3.540 0.692
In 1.642 -5.530 -1.343
Pt 2.012 -4.111 0.968
Pt -3.071 -4.960 -1.620
Pt -0.486 -4.935 1.539
Pt -0.574 -4.135 -2.190
Pt -0.135 -2.724 0.125
Pt -0.924 -6.346 -0.777
Au 0.000 0.000 0.000
Au -0.042 -1.459 -2.292
```

## Properties
Fermi-level density of states   3.9 states/eV/f.u.

The following is a DFT calculation (PBE) of crystalline In2PtAu7 at its relaxed geometry.

```
10
Lattice="2.968 0.000 0.000 0.000 9.309 -0.690 0.000 -4.726 8.050" Properties=species:S:1:pos:R:3 pbc="T T T"
In 1.484 4.809 2.112
In 1.484 -0.226 5.247
Pt 0.000 0.000 0.000
Au 0.000 6.814 0.863
Au 0.000 -2.231 6.496
Au 1.484 -0.203 2.464
Au 1.484 4.786 4.895
Au 1.484 2.301 0.905
Au 1.484 2.282 6.454
Au 1.484 2.291 3.680
```

## Properties
Fermi-level density of states   6.6 states/eV/f.u.

The following is a DFT calculation (PBE) of crystalline InPtAu3 at its relaxed geometry.

```
5
Lattice="5.128 0.000 0.000 0.000 5.128 0.000 0.000 0.000 5.128" Properties=species:S:1:pos:R:3 pbc="T T T"
Au 0.000 2.564 0.000
Au 0.000 0.000 2.564
Au 2.564 0.000 0.000
Pt 0.000 0.000 0.000
In 2.564 2.564 2.564
```

## Properties
Fermi-level density of states   3.1 states/eV/f.u.

The following is a DFT calculation (PBE) of crystalline InPt6Au5 at its relaxed geometry.

```
12
Lattice="-2.215 1.104 -3.324 -6.055 1.246 1.845 1.962 7.687 1.246" Properties=species:S:1:pos:R:3 pbc="T T T"
Au -4.543 5.412 -0.357
Au -2.777 0.786 -0.479
Au 0.981 3.844 0.623
Au -5.493 1.564 -1.000
Au -1.765 4.625 0.125
Pt -3.365 3.259 -1.849
Pt -2.385 7.097 -1.226
Pt 0.373 6.350 -0.722
Pt -0.625 2.441 -1.356
Pt -3.922 2.941 0.993
Pt -2.943 6.779 1.616
In 0.000 0.000 0.000
```

## Properties
Fermi-level density of states   9.8 states/eV/f.u.

The following is a DFT calculation (PBE) of crystalline InPtAu14 at its relaxed geometry.

```
16
Lattice="5.923 -0.416 0.000 -2.704 5.286 0.000 0.000 0.000 9.596" Properties=species:S:1:pos:R:3 pbc="T T T"
In -2.369 5.064 4.798
Pt 1.949 2.210 4.798
Au -0.886 4.084 0.000
Au 3.425 1.235 0.000
Au -1.014 2.408 4.798
Au 0.471 1.438 0.000
Au 0.606 4.859 4.798
Au 2.080 3.872 0.000
Au 1.881 0.511 7.185
Au 1.881 0.511 2.412
Au 3.485 2.938 7.185
Au 3.485 2.938 2.412
Au 0.536 3.144 7.184
Au 0.536 3.144 2.413
Au 4.840 0.299 7.220
Au 4.840 0.299 2.377
```

## Properties
Fermi-level density of states   5.2 states/eV/f.u.

The following is a DFT calculation (PBE) of crystalline InPtAu at its relaxed geometry.

```
3
Lattice="4.502 0.000 0.000 2.251 3.899 0.000 2.251 1.300 3.676" Properties=species:S:1:pos:R:3 pbc="T T T"
Au 0.000 0.000 0.000
In 4.502 2.599 1.838
Pt 6.753 3.899 2.757
```

## Properties
Fermi-level density of states   1.0 states/eV/f.u.

The following is a DFT calculation (PBE) of crystalline In2Pt3Au at its relaxed geometry.

```
12
Lattice="7.086 0.000 0.000 0.000 5.577 0.000 -3.543 -2.788 6.431" Properties=species:S:1:pos:R:3 pbc="T T T"
In 1.187 0.000 4.435
In 4.730 0.000 1.996
In -1.187 2.788 4.435
In 2.356 2.788 1.996
Pt 3.543 1.394 0.000
Pt 3.543 4.183 0.000
Pt 3.543 -1.394 4.030
Pt 0.000 1.394 2.401
Pt 0.000 4.183 2.401
Pt 3.543 1.394 4.030
Au 0.000 2.788 0.000
Au 0.000 0.000 0.000
```

## Properties
Fermi-level density of states   2.7 states/eV/f.u.

VASP energy in eV per cell, matching the order above: -29.0 -47.5 -34.1 -16.2 -56.0 -55.1 -12.8 -56.1